(A)
DFT (PBE) results for a geometry-optimized Li3YZn structure.

Cell lengths 4.751, 4.751, 4.751 Å; angles 90.00, 90.00, 90.00 degrees
Space group Pm-3m (No. 221)
Symmetry-distinct sites (fractional):
Li (0.000, 0.000, 0.500) [3 per cell]
Y (0.500, 0.500, 0.500) [1 per cell]
Zn (0.000, 0.000, 0.000) [1 per cell]

Results
D(E_F) = 3.70 states/eV/cell
magnetic moment = 0.00 μB per atom
mass density = 2711 kg/m3

(B)
DFT (PBE) results for a geometry-optimized Li3YZn structure.

Cell lengths 5.783, 5.783, 5.783 Å; angles 90.00, 90.00, 90.00 degrees
Space group Pm-3m (No. 221)
Symmetry-distinct sites (fractional):
Li (0.000, 0.000, 0.500) [3 per cell]
Y (0.000, 0.000, 0.000) [1 per cell]
Zn (0.500, 0.500, 0.500) [1 per cell]

Results
D(E_F) = 6.93 states/eV/cell
magnetic moment = 0.39 μB per atom
mass density = 1503 kg/m3

The winner here is (A), beating the second structure by 94.2 kJ/mol of atoms.

(A)
DFT (PBE) results for a geometry-optimized LiYZn structure.

Cell lengths 3.250, 4.046, 5.244 Å; angles 90.00, 90.00, 90.00 degrees
Space group Pmmm (No. 47)
Symmetry-distinct sites (fractional):
Li (0.000, 0.000, 0.000) [1 per cell]
Y (0.000, 0.500, 0.500) [1 per cell]
Zn (0.500, 0.500, 0.000) [1 per cell]

Results
D(E_F) = 2.42 states/eV/cell
magnetic moment = 0.00 μB per atom
mass density = 3882 kg/m3

(B)
DFT (PBE) results for a geometry-optimized LiYZn structure.

Cell lengths 10.122, 3.667, 3.666 Å; angles 90.00, 110.91, 90.00 degrees
Space group Cm (No. 8)
Symmetry-distinct sites (fractional):
Li (0.000, 0.000, 0.000) [2 per cell]
Y (0.192, 0.500, 0.691) [2 per cell]
Zn (0.362, 0.000, 0.359) [2 per cell]

Results
D(E_F) = 3.43 states/eV/cell
magnetic moment = 0.00 μB per atom
mass density = 4214 kg/m3

(C)
DFT (PBE) results for a geometry-optimized LiYZn structure.

Cell lengths 6.669, 6.669, 6.669 Å; angles 90.00, 90.00, 90.00 degrees
Space group F-43m (No. 216)
Symmetry-distinct sites (fractional):
Li (0.000, 0.000, 0.000) [4 per cell]
Y (0.000, 0.000, 0.500) [4 per cell]
Zn (0.250, 0.250, 0.750) [4 per cell]

Results
D(E_F) = 17.00 states/eV/cell
magnetic moment = 0.04 μB per atom
mass density = 3611 kg/m3

(D)
DFT (PBE) results for a geometry-optimized LiYZn structure.

Cell lengths 6.792, 6.792, 6.792 Å; angles 90.00, 90.00, 90.00 degrees
Space group F-43m (No. 216)
Symmetry-distinct sites (fractional):
Li (0.000, 0.000, 0.000) [4 per cell]
Y (0.250, 0.250, 0.750) [4 per cell]
Zn (0.000, 0.000, 0.500) [4 per cell]

Results
D(E_F) = 16.00 states/eV/cell
magnetic moment = 0.00 μB per atom
mass density = 3418 kg/m3

The winner here is (B), beating the second structure by 14.2 kJ/mol of atoms.

(A)
DFT (PBE) results for a geometry-optimized LiY2Zr structure.

Cell lengths 3.514, 5.349, 5.646 Å; angles 90.00, 90.00, 90.00 degrees
Space group Pmmm (No. 47)
Symmetry-distinct sites (fractional):
Li (0.000, 0.000, 0.000) [1 per cell]
Y (0.000, 0.500, 0.500) [1 per cell]
Y (0.500, 0.500, 0.000) [1 per cell]
Zr (0.500, 0.000, 0.500) [1 per cell]

Results
D(E_F) = 6.39 states/eV/cell
magnetic moment = 0.00 μB per atom
mass density = 4319 kg/m3

(B)
DFT (PBE) results for a geometry-optimized LiY2Zr structure.

Cell lengths 7.172, 8.667, 3.417 Å; angles 90.00, 90.00, 90.00 degrees
Space group Cmmm (No. 65)
Symmetry-distinct sites (fractional):
Li (0.000, 0.000, 0.000) [2 per cell]
Y (0.250, 0.250, 0.500) [4 per cell]
Zr (0.000, 0.500, 0.000) [2 per cell]

Results
D(E_F) = 10.19 states/eV/cell
magnetic moment = 0.00 μB per atom
mass density = 4315 kg/m3

The winner here is (B), beating the second structure by 11.9 kJ/mol of atoms.

(A)
DFT (PBE) results for a geometry-optimized Li2Y2Zr structure.

Cell lengths 8.525, 8.525, 3.355 Å; angles 90.00, 90.00, 90.00 degrees
Space group P4/mbm (No. 127)
Symmetry-distinct sites (fractional):
Li (0.112, 0.388, 0.000) [4 per cell]
Y (0.190, 0.690, 0.500) [4 per cell]
Zr (0.000, 0.000, 0.000) [2 per cell]

Results
D(E_F) = 18.02 states/eV/cell
magnetic moment = 0.00 μB per atom
mass density = 3854 kg/m3

(B)
DFT (PBE) results for a geometry-optimized Li2Y2Zr structure.

Cell lengths 5.375, 5.375, 8.567 Å; angles 90.00, 90.00, 90.00 degrees
Space group I4/mmm (No. 139)
Symmetry-distinct sites (fractional):
Li (0.000, 0.000, 0.121) [4 per cell]
Y (0.000, 0.500, 0.250) [4 per cell]
Zr (0.000, 0.000, 0.500) [2 per cell]

Results
D(E_F) = 9.69 states/eV/cell
magnetic moment = 0.40 μB per atom
mass density = 3796 kg/m3

The winner here is (A), beating the second structure by 11.8 kJ/mol of atoms.

(A)
DFT (PBE) results for a geometry-optimized LiY3Zr structure.

Cell lengths 5.258, 5.258, 5.258 Å; angles 90.00, 90.00, 90.00 degrees
Space group Pm-3m (No. 221)
Symmetry-distinct sites (fractional):
Li (0.000, 0.000, 0.000) [1 per cell]
Y (0.000, 0.000, 0.500) [3 per cell]
Zr (0.500, 0.500, 0.500) [1 per cell]

Results
D(E_F) = 9.64 states/eV/cell
magnetic moment = 0.00 μB per atom
mass density = 4168 kg/m3

(B)
DFT (PBE) results for a geometry-optimized LiY3Zr structure.

Cell lengths 5.623, 5.623, 5.623 Å; angles 90.00, 90.00, 90.00 degrees
Space group Pm-3m (No. 221)
Symmetry-distinct sites (fractional):
Li (0.000, 0.000, 0.000) [1 per cell]
Y (0.000, 0.500, 0.500) [3 per cell]
Zr (0.500, 0.500, 0.500) [1 per cell]

Results
D(E_F) = 5.92 states/eV/cell
magnetic moment = 0.00 μB per atom
mass density = 3408 kg/m3

The winner here is (B), beating the second structure by 1.7 kJ/mol of atoms.

(A)
DFT (PBE) results for a geometry-optimized Li5Zn3 structure.

Cell lengths 7.8200, 7.8200, 5.0189 Å; angles 90.00, 90.00, 120.00 degrees
Space group P6_3/mcm (No. 193)
Symmetry-distinct sites (fractional):
Li (0.0000, 0.2398, 0.2500) [6 per cell]
Li (0.3333, 0.6667, 0.0000) [4 per cell]
Zn (0.0000, 0.4125, 0.7500) [6 per cell]

Results
D(E_F) = 4.95 states/eV/cell
magnetic moment = 0.00 μB per atom
mass density = 2885 kg/m3

(B)
DFT (PBE) results for a geometry-optimized Li5Zn3 structure.

Cell lengths 7.494, 7.867, 4.232 Å; angles 90.00, 90.00, 90.00 degrees
Space group Cmmm (No. 65)
Symmetry-distinct sites (fractional):
Li (0.000, 0.000, 0.000) [2 per cell]
Li (0.000, 0.233, 0.500) [4 per cell]
Li (0.250, 0.250, 0.000) [4 per cell]
Zn (0.000, 0.500, 0.000) [2 per cell]
Zn (0.220, 0.500, 0.500) [4 per cell]

Results
D(E_F) = 3.38 states/eV/cell
magnetic moment = 0.00 μB per atom
mass density = 3074 kg/m3

The winner here is (B), beating the second structure by 3.6 kJ/mol of atoms.